(1)
The following is a DFT calculation (PBE-GGA) of a relaxed SbPd2Pt9 crystal.

Geometry as extended XYZ:
```
12
Lattice="4.013 0.000 0.000 0.000 4.013 0.000 0.000 0.000 11.933" Properties=species:S:1:pos:R:3 pbc="T T T"
Sb 0.000 0.000 0.000
Pd 0.000 0.000 4.043
Pd 0.000 0.000 7.891
Pt 0.000 2.007 2.044
Pt 0.000 2.007 5.967
Pt 0.000 2.007 9.889
Pt 2.007 0.000 2.044
Pt 2.007 0.000 5.967
Pt 2.007 0.000 9.889
Pt 2.007 2.007 0.000
Pt 2.007 2.007 4.007
Pt 2.007 2.007 7.926
```

Results
DFT total energy in eV/atom: -5.821
Energy relative to the elements, uncorrected in kJ/mol of formula units: -94
Total moment in μB per cell: 0.0

(2)
The following is a DFT calculation (PBE-GGA) of a relaxed Mg4TaNi crystal.

Geometry as extended XYZ:
```
6
Lattice="0.000 3.845 3.845 3.845 0.000 3.845 3.845 3.845 0.000" Properties=species:S:1:pos:R:3 pbc="T T T"
Mg 0.963 0.963 0.963
Mg 2.883 2.883 0.963
Mg 2.883 0.963 2.883
Mg 0.963 2.883 2.883
Ta 3.845 3.845 3.845
Ni 5.768 5.768 5.768
```

Results
DFT total energy in eV/atom: -3.363
ΔE_f in eV/atom: 0.639
Total moment in μB per cell: 2.7

(3)
The following is a DFT calculation (PBE-GGA) of a relaxed Cs3MgRh crystal.

Geometry as extended XYZ:
```
5
Lattice="6.374 0.000 0.000 0.000 6.374 0.000 0.000 0.000 6.374" Properties=species:S:1:pos:R:3 pbc="T T T"
Cs 0.000 0.000 3.187
Cs 0.000 3.187 0.000
Cs 3.187 0.000 0.000
Mg 3.187 3.187 3.187
Rh 0.000 0.000 0.000
```

Results
DFT total energy in eV/atom: -1.760
ΔE_f in eV/atom: 0.542
Total moment in μB per cell: 0.0

(4)
The following is a DFT calculation (PBE-GGA) of a relaxed Dy2MgZn3 crystal.

Geometry as extended XYZ:
```
12
Lattice="4.881 0.000 0.000 -2.440 4.227 0.000 0.000 0.000 12.207" Properties=species:S:1:pos:R:3 pbc="T T T"
Dy 0.000 0.000 0.000
Dy 0.000 0.000 6.104
Dy 0.000 2.818 2.188
Dy 2.440 1.409 10.019
Mg 0.000 2.818 8.074
Mg 2.440 1.409 4.133
Zn 0.000 0.000 3.121
Zn 0.000 0.000 9.086
Zn 0.000 2.818 5.125
Zn 0.000 2.818 11.145
Zn 2.440 1.409 1.063
Zn 2.440 1.409 7.083
```

Results
DFT total energy in eV/atom: -2.761
ΔE_f in eV/atom: -0.325
Total moment in μB per cell: 0.0
Relative energy among the computed polymorphs in meV per atom: 0

(5)
The following is a DFT calculation (PBE-GGA) of a relaxed Ta3Tc crystal.

Geometry as extended XYZ:
```
4
Lattice="3.217 0.000 0.000 0.000 3.217 0.000 0.000 0.000 6.631" Properties=species:S:1:pos:R:3 pbc="T T T"
Ta 0.000 0.000 0.000
Ta 1.609 1.609 1.731
Ta 1.609 1.609 4.900
Tc 0.000 0.000 3.315
```

Results
DFT total energy in eV/atom: -11.759
ΔE_f in eV/atom: -0.278
Total moment in μB per cell: 0.0
Relative energy among the computed polymorphs in meV per atom: 0

(6)
The following is a DFT calculation (PBE-GGA) of a relaxed BeTcC3 crystal.

Geometry as extended XYZ:
```
5
Lattice="3.992 0.000 0.000 0.000 3.992 0.000 0.000 0.000 3.992" Properties=species:S:1:pos:R:3 pbc="T T T"
Be 0.000 0.000 0.000
Tc 1.996 1.996 1.996
C 0.000 1.996 1.996
C 1.996 0.000 1.996
C 1.996 1.996 0.000
```

Results
DFT total energy in eV/atom: -6.127
ΔE_f in eV/atom: 2.226
Total moment in μB per cell: 0.0
Relative energy among the computed polymorphs in meV per atom: 0

(7)
The following is a DFT calculation (PBE-GGA) of a relaxed CoReMo crystal.

Geometry as extended XYZ:
```
6
Lattice="2.674 0.000 0.000 0.000 2.674 0.000 0.000 0.000 11.558" Properties=species:S:1:pos:R:3 pbc="T T T"
Co 0.000 0.000 0.000
Co 1.337 1.337 5.779
Re 0.000 0.000 7.491
Re 1.337 1.337 1.712
Mo 0.000 0.000 3.892
Mo 1.337 1.337 9.670
```

Results
DFT total energy in eV/atom: -10.041
ΔE_f in eV/atom: 0.088
Total moment in μB per cell: 0.5
Relative energy among the computed polymorphs in meV per atom: 100

(8)
The following is a DFT calculation (PBE-GGA) of a relaxed Th2PC crystal.

Geometry as extended XYZ:
```
12
Lattice="3.930 0.000 0.000 -1.965 3.403 0.000 0.000 0.000 19.916" Properties=species:S:1:pos:R:3 pbc="T T T"
Th 0.000 0.000 4.786
Th 0.000 0.000 15.130
Th 0.000 2.269 8.491
Th 0.000 2.269 18.063
Th 1.965 1.134 1.852
Th 1.965 1.134 11.425
P 0.000 0.000 0.000
P 0.000 2.269 13.277
P 1.965 1.134 6.639
C 0.000 0.000 9.958
C 0.000 2.269 3.319
C 1.965 1.134 16.596
```

Results
DFT total energy in eV/atom: -8.280
ΔE_f in eV/atom: -0.912
Total moment in μB per cell: 0.0
Relative energy among the computed polymorphs in meV per atom: 0

(9)
The following is a DFT calculation (PBE-GGA) of a relaxed LaRu2Pt crystal.

Geometry as extended XYZ:
```
16
Lattice="4.193 0.000 0.000 0.000 4.193 0.000 0.000 0.000 19.322" Properties=species:S:1:pos:R:3 pbc="T T T"
La 0.000 0.000 0.000
La 0.000 2.096 4.830
La 2.096 0.000 14.491
La 2.096 2.096 9.661
Ru 0.597 1.048 12.076
Ru 1.048 2.693 16.906
Ru 1.048 3.596 7.246
Ru 1.500 1.048 2.415
Ru 2.693 3.144 2.415
Ru 3.144 0.597 7.246
Ru 3.144 1.500 16.906
Ru 3.596 3.144 12.076
Pt 0.000 0.000 9.661
Pt 0.000 2.096 14.491
Pt 2.096 0.000 4.830
Pt 2.096 2.096 0.000
```

Results
DFT total energy in eV/atom: -7.322
ΔE_f in eV/atom: 0.058
Total moment in μB per cell: 4.0
Relative energy among the computed polymorphs in meV per atom: 222

(10)
The following is a DFT calculation (PBE-GGA) of a relaxed NpHSe crystal.

Geometry as extended XYZ:
```
12
Lattice="3.811 0.000 0.000 0.000 13.560 0.000 0.000 0.000 3.977" Properties=species:S:1:pos:R:3 pbc="T T T"
Np 0.000 0.710 0.994
Np 0.000 12.850 2.982
Np 1.906 6.070 2.982
Np 1.906 7.490 0.994
H 0.000 2.719 0.994
H 0.000 10.841 2.982
H 1.906 4.061 2.982
H 1.906 9.499 0.994
Se 0.000 5.109 0.994
Se 0.000 8.451 2.982
Se 1.906 1.671 2.982
Se 1.906 11.889 0.994
```

Results
DFT total energy in eV/atom: -6.778
Total moment in μB per cell: 1.7